Here is a relaxed Li4V3Sn3Te2O16 crystal from Alexandria. Energies are from PBE+U.

Lattice parameters (Å, degrees): 10.9155 6.2351 10.1487 90.00 90.07 90.00
Space group Cm (No. 8)
One atom of each set of equivalent atoms:
Li  0.0000  0.0000  0.0000 x2
Li  0.0049  0.0000  0.4879 x2
Li  0.1763  0.5000  0.0824 x2
Li  0.3404  0.0000  0.5885 x2
V  0.3392  0.5000  0.7741 x2
V  0.4259  0.2345  0.2731 x4
Sn  0.0898  0.2518  0.7726 x4
Sn  0.1754  0.0000  0.2716 x2
Te  0.1865  0.5000  0.4880 x2
Te  0.3453  0.0000  0.0059 x2
O  0.0067  0.0000  0.1822 x2
O  0.0067  0.0000  0.6688 x2
O  0.0179  0.5000  0.6561 x2
O  0.0925  0.2427  0.3874 x4
O  0.1550  0.0000  0.8898 x2
O  0.1721  0.5000  0.8825 x2
O  0.2519  0.2757  0.6573 x4
O  0.2684  0.2195  0.1429 x4
O  0.3359  0.0000  0.3812 x2
O  0.3480  0.5000  0.3892 x2
O  0.4284  0.2764  0.8856 x4
O  0.4893  0.0000  0.1374 x2

Summary:
Total magnetization = 14.000 Bohr magnetons per cell
V = 691 Å³/cell
E = -0.22953 hartree per atom